# Ta2PRu

A geometry-optimized Ta2PRu structure (PBE-GGA, the Alexandria database).

Computed properties:
Formation energy: -0.148 eV per atom
Spin magnetization: 0.000 μB/atom
N(E_F): 2.95 states/eV/cell

abc: 7.328 7.328 7.328
angles: 25.95 25.95 25.95
Fractional positions:
Ta (0.241, 0.241, 0.241)
Ta (0.759, 0.759, 0.759)
P (0.500, 0.500, 0.500)
Ru (0.000, 0.000, 0.000)

# Ta3PRu

A geometry-optimized Ta3PRu structure (PBE-GGA, the Alexandria database).

Computed properties:
Formation energy: 0.474 eV per atom
Distance to the lowest polymorph of the same formula: 0.0 meV/atom
Spin magnetization: 0.000 μB/atom
N(E_F): 3.21 states/eV/cell

abc: 4.527 4.527 4.527
angles: 90.00 90.00 90.00
Fractional positions:
Ta (0.000, 0.000, 0.500)
Ta (0.000, 0.500, 0.000)
Ta (0.500, 0.000, 0.000)
P (0.000, 0.000, 0.000)
Ru (0.500, 0.500, 0.500)

# Ta2PRu

A geometry-optimized Ta2PRu structure (PBE-GGA, the Alexandria database).

Computed properties:
Formation energy: -0.172 eV per atom
Spin magnetization: 0.000 μB/atom
N(E_F): 3.53 states/eV/cell

abc: 4.799 4.799 4.799
angles: 130.73 130.73 72.25
Fractional positions:
Ta (0.250, 0.750, 0.500)
Ta (0.750, 0.250, 0.500)
P (0.000, 0.000, 0.000)
Ru (0.500, 0.500, 0.000)

# TaP2Ru

A geometry-optimized TaP2Ru structure (PBE-GGA, the Alexandria database).

Computed properties:
Formation energy: -0.451 eV per atom
Distance to the lowest polymorph of the same formula: 145.1 meV/atom
Spin magnetization: 0.165 μB/atom
N(E_F): 2.40 states/eV/cell

abc: 3.246 3.246 5.495
angles: 90.00 90.00 90.00
Fractional positions:
Ta (0.000, 0.000, 0.000)
P (0.000, 0.000, 0.487)
P (0.500, 0.500, 0.189)
Ru (0.500, 0.500, 0.643)

# Ta2PRu

A geometry-optimized Ta2PRu structure (PBE-GGA, the Alexandria database).

Computed properties:
Formation energy: -0.277 eV per atom
Spin magnetization: 0.000 μB/atom
N(E_F): 3.41 states/eV/cell

abc: 2.873 2.873 7.550
angles: 90.00 90.00 90.00
Fractional positions:
Ta (0.000, 0.000, 0.000)
Ta (0.500, 0.500, 0.309)
P (0.000, 0.000, 0.553)
Ru (0.500, 0.500, 0.720)

# Ta2PRu

A geometry-optimized Ta2PRu structure (PBE-GGA, the Alexandria database).

Computed properties:
Formation energy: -0.272 eV per atom
Spin magnetization: 0.000 μB/atom
N(E_F): 1.88 states/eV/cell

abc: 5.275 5.275 5.275
angles: 139.11 139.11 59.20
Fractional positions:
Ta (0.000, 0.000, 0.000)
Ta (0.750, 0.250, 0.500)
P (0.250, 0.750, 0.500)
Ru (0.500, 0.500, 0.000)

# TaPRu

A geometry-optimized TaPRu structure (PBE-GGA, the Alexandria database).

Computed properties:
Formation energy: -0.585 eV per atom
Spin magnetization: 0.000 μB/atom
N(E_F): 0.51 states/eV/cell

abc: 4.143 4.143 2.929
angles: 90.00 90.00 120.00
Fractional positions:
Ta (0.000, 0.000, 0.000)
P (0.667, 0.333, 0.500)
Ru (0.333, 0.667, 0.500)

# TaP2Ru

A geometry-optimized TaP2Ru structure (PBE-GGA, the Alexandria database).

Computed properties:
Formation energy: -0.351 eV per atom
Distance to the lowest polymorph of the same formula: 245.3 meV/atom
Spin magnetization: 0.000 μB/atom
N(E_F): 2.20 states/eV/cell

abc: 3.103 3.577 5.329
angles: 90.00 90.00 90.00
Fractional positions:
Ta (0.000, 0.000, 0.000)
P (0.500, 0.500, 0.224)
P (0.500, 0.500, 0.776)
Ru (0.500, 0.000, 0.500)

# TaPRu

A geometry-optimized TaPRu structure (PBE-GGA, the Alexandria database).

Computed properties:
Formation energy: -0.513 eV per atom
Spin magnetization: 0.000 μB/atom
N(E_F): 0.00 states/eV/cell

abc: 4.140 4.140 4.140
angles: 60.00 60.00 60.00
Fractional positions:
Ta (0.000, 0.000, 0.000)
P (0.500, 0.500, 0.500)
Ru (0.750, 0.750, 0.750)

# Ta2PRu

A geometry-optimized Ta2PRu structure (PBE-GGA, the Alexandria database).

Computed properties:
Formation energy: -0.264 eV per atom
Spin magnetization: 0.000 μB/atom
N(E_F): 2.83 states/eV/cell

abc: 4.938 4.938 4.938
angles: 140.65 122.69 71.74
Fractional positions:
Ta (0.235, 0.235, 0.000)
Ta (0.765, 0.765, 0.000)
P (0.000, 0.500, 0.500)
Ru (0.500, 0.000, 0.500)

# Ta2PRu

A geometry-optimized Ta2PRu structure (PBE-GGA, the Alexandria database).

Computed properties:
Formation energy: -0.267 eV per atom
Spin magnetization: 0.000 μB/atom
N(E_F): 4.45 states/eV/cell

abc: 2.977 2.977 7.147
angles: 90.00 90.00 99.46
Fractional positions:
Ta (0.000, 0.000, 0.242)
Ta (0.000, 0.000, 0.758)
P (0.500, 0.500, 0.000)
Ru (0.500, 0.500, 0.500)

# Ta2PRu

A geometry-optimized Ta2PRu structure (PBE-GGA, the Alexandria database).

Computed properties:
Formation energy: -0.336 eV per atom
Spin magnetization: 0.000 μB/atom
N(E_F): 3.16 states/eV/cell

abc: 3.009 3.226 6.582
angles: 90.00 98.96 90.00
Fractional positions:
Ta (0.078, 0.000, 0.263)
Ta (0.922, 0.000, 0.737)
P (0.500, 0.500, 0.500)
Ru (0.500, 0.500, 0.000)

# Ta2PRu

A geometry-optimized Ta2PRu structure (PBE-GGA, the Alexandria database).

Computed properties:
Formation energy: -0.519 eV per atom
Spin magnetization: 0.000 μB/atom
N(E_F): 2.16 states/eV/cell

abc: 3.570 5.780 5.780
angles: 32.01 90.00 90.00
Fractional positions:
Ta (0.000, 0.000, 0.000)
Ta (0.500, 0.342, 0.342)
P (0.500, 0.583, 0.583)
Ru (0.000, 0.730, 0.730)

# Ta3PRu

A geometry-optimized Ta3PRu structure (PBE-GGA, the Alexandria database).

Computed properties:
Formation energy: 1.232 eV per atom
Distance to the lowest polymorph of the same formula: 757.7 meV/atom
Spin magnetization: 0.000 μB/atom
N(E_F): 5.60 states/eV/cell

abc: 4.781 4.781 4.781
angles: 90.00 90.00 90.00
Fractional positions:
Ta (0.000, 0.000, 0.500)
Ta (0.000, 0.500, 0.000)
Ta (0.500, 0.000, 0.000)
P (0.500, 0.500, 0.500)
Ru (0.000, 0.000, 0.000)

# TaP2Ru

A geometry-optimized TaP2Ru structure (PBE-GGA, the Alexandria database).

Computed properties:
Formation energy: -0.456 eV per atom
Distance to the lowest polymorph of the same formula: 140.3 meV/atom
Spin magnetization: 0.000 μB/atom
N(E_F): 2.88 states/eV/cell

abc: 4.593 4.593 4.372
angles: 103.96 103.96 39.66
Fractional positions:
Ta (0.000, 0.000, 0.000)
P (0.496, 0.496, 0.491)
P (0.740, 0.740, 0.139)
Ru (0.229, 0.229, 0.607)

# TaP2Ru

A geometry-optimized TaP2Ru structure (PBE-GGA, the Alexandria database).

Computed properties:
Formation energy: -0.158 eV per atom
Distance to the lowest polymorph of the same formula: 438.6 meV/atom
Spin magnetization: 0.000 μB/atom
N(E_F): 2.60 states/eV/cell

abc: 7.889 7.889 7.889
angles: 21.50 21.50 21.50
Fractional positions:
Ta (0.000, 0.000, 0.000)
P (0.244, 0.244, 0.244)
P (0.756, 0.756, 0.756)
Ru (0.500, 0.500, 0.500)

# Ta2P2Ru

A geometry-optimized Ta2P2Ru structure (PBE-GGA, the Alexandria database).

Computed properties:
Formation energy: -0.501 eV per atom
Spin magnetization: 0.000 μB/atom
N(E_F): 8.38 states/eV/cell

abc: 6.639 6.639 3.347
angles: 90.00 90.00 90.00
Fractional positions:
Ta (0.153, 0.347, 0.000)
Ta (0.347, 0.847, 0.000)
Ta (0.653, 0.153, 0.000)
Ta (0.847, 0.653, 0.000)
P (0.148, 0.648, 0.500)
P (0.352, 0.148, 0.500)
P (0.648, 0.852, 0.500)
P (0.852, 0.352, 0.500)
Ru (0.000, 0.000, 0.500)
Ru (0.500, 0.500, 0.500)

# Ta2PRu

A geometry-optimized Ta2PRu structure (PBE-GGA, the Alexandria database).

Computed properties:
Formation energy: -0.287 eV per atom
Spin magnetization: 0.000 μB/atom
N(E_F): 3.17 states/eV/cell

abc: 2.900 2.900 7.498
angles: 90.00 90.00 98.37
Fractional positions:
Ta (0.000, 0.000, 0.000)
Ta (0.500, 0.500, 0.308)
P (0.000, 0.000, 0.544)
Ru (0.500, 0.500, 0.720)

# TaPRu

A geometry-optimized TaPRu structure (PBE-GGA, the Alexandria database).

Computed properties:
Formation energy: 0.028 eV per atom
Spin magnetization: 0.000 μB/atom
N(E_F): 2.58 states/eV/cell

abc: 4.206 4.206 4.206
angles: 60.00 60.00 60.00
Fractional positions:
Ta (0.000, 0.000, 0.000)
P (0.250, 0.250, 0.250)
Ru (0.750, 0.750, 0.750)

# TaP2Ru

A geometry-optimized TaP2Ru structure (PBE-GGA, the Alexandria database).

Computed properties:
Formation energy: -0.194 eV per atom
Distance to the lowest polymorph of the same formula: 402.8 meV/atom
Spin magnetization: 0.000 μB/atom
N(E_F): 2.41 states/eV/cell

abc: 2.881 2.881 8.051
angles: 90.00 90.00 90.00
Fractional positions:
Ta (0.000, 0.000, 0.000)
P (0.000, 0.000, 0.591)
P (0.500, 0.500, 0.223)
Ru (0.500, 0.500, 0.750)